DFT (GGA-PBE) results for a relaxed Hg2B2C crystal.

Summary:
Formation energy ... 45.6 kcal/mol of atoms
Energy above the most stable polymorph in this dataset ... 110 meV/atom
Space-group type ... No. 127
Crystal system ... tetragonal
Total energy ... -0.195 Ry/atom
N(E_F) ... 4.81 states/eV/cell

Cell: 6.562 6.562 3.902 Å, 90.00 90.00 90.00°
Sites, in units of the cell vectors:
1 Hg 0.209 0.291 0.000
2 Hg 0.291 0.791 0.000
3 Hg 0.709 0.209 0.000
4 Hg 0.791 0.709 0.000
5 B 0.087 0.413 0.500
6 B 0.413 0.913 0.500
7 B 0.587 0.087 0.500
8 B 0.913 0.587 0.500
9 C 0.000 0.000 0.000
10 C 0.500 0.500 0.000

DFT (GGA-PBE) results for a relaxed HgBC2 crystal.

Summary:
Formation energy ... 30.1 kcal/mol of atoms
Energy above the most stable polymorph in this dataset ... 0 meV/atom
Space-group type ... No. 122
Crystal system ... tetragonal
Total energy ... -0.371 Ry/atom
N(E_F) ... 2.92 states/eV/cell

Cell: 5.189 5.189 5.189 Å, 126.50 126.50 79.07°
Sites, in units of the cell vectors:
1 Hg 0.000 0.000 0.000
2 Hg 0.750 0.250 0.500
3 B 0.250 0.750 0.500
4 B 0.500 0.500 0.000
5 C 0.247 0.625 0.122
6 C 0.375 0.497 0.622
7 C 0.503 0.125 0.878
8 C 0.875 0.753 0.378

DFT (GGA-PBE) results for a relaxed HgBC3 crystal.

Summary:
Formation energy ... 101.1 kcal/mol of atoms
Energy above the most stable polymorph in this dataset ... 1736 meV/atom
Space-group type ... No. 221
Crystal system ... cubic
Total energy ... -0.187 Ry/atom
N(E_F) ... 5.61 states/eV/cell

Cell: 4.329 4.329 4.329 Å, 90.00 90.00 90.00°
Sites, in units of the cell vectors:
1 Hg 0.000 0.000 0.000
2 B 0.500 0.500 0.500
3 C 0.000 0.000 0.500
4 C 0.000 0.500 0.000
5 C 0.500 0.000 0.000

DFT (GGA-PBE) results for a relaxed HgB2C crystal.

Summary:
Formation energy ... 65.0 kcal/mol of atoms
Energy above the most stable polymorph in this dataset ... 2090 meV/atom
Space-group type ... No. 225
Crystal system ... cubic
Total energy ... -0.213 Ry/atom
N(E_F) ... 2.38 states/eV/cell

Cell: 4.052 4.052 4.052 Å, 60.00 60.00 60.00°
Sites, in units of the cell vectors:
1 Hg 0.000 0.000 0.000
2 B 0.250 0.250 0.250
3 B 0.750 0.750 0.750
4 C 0.500 0.500 0.500

DFT (GGA-PBE) results for a relaxed HgBC2 crystal.

Summary:
Formation energy ... 75.0 kcal/mol of atoms
Energy above the most stable polymorph in this dataset ... 1946 meV/atom
Space-group type ... No. 225
Crystal system ... cubic
Total energy ... -0.228 Ry/atom
N(E_F) ... 1.83 states/eV/cell

Cell: 3.988 3.988 3.988 Å, 60.00 60.00 60.00°
Sites, in units of the cell vectors:
1 Hg 0.000 0.000 0.000
2 B 0.500 0.500 0.500
3 C 0.250 0.250 0.250
4 C 0.750 0.750 0.750

DFT (GGA-PBE) results for a relaxed Hg2B2C crystal.

Summary:
Formation energy ... 43.1 kcal/mol of atoms
Energy above the most stable polymorph in this dataset ... 0 meV/atom
Space-group type ... No. 139
Crystal system ... tetragonal
Total energy ... -0.203 Ry/atom
N(E_F) ... 2.63 states/eV/cell

Cell: 8.653 8.653 8.653 Å, 161.06 161.06 26.91°
Sites, in units of the cell vectors:
1 Hg 0.103 0.103 0.000
2 Hg 0.897 0.897 0.000
3 B 0.250 0.750 0.500
4 B 0.750 0.250 0.500
5 C 0.500 0.500 0.000

DFT (GGA-PBE) results for a relaxed HgBC3 crystal.

Summary:
Formation energy ... 61.1 kcal/mol of atoms
Energy above the most stable polymorph in this dataset ... 0 meV/atom
Space-group type ... No. 221
Crystal system ... cubic
Total energy ... -0.315 Ry/atom
N(E_F) ... 2.72 states/eV/cell

Cell: 3.665 3.665 3.665 Å, 90.00 90.00 90.00°
Sites, in units of the cell vectors:
1 Hg 0.000 0.000 0.000
2 B 0.500 0.500 0.500
3 C 0.000 0.500 0.500
4 C 0.500 0.000 0.500
5 C 0.500 0.500 0.000

DFT (GGA-PBE) results for a relaxed HgB2C crystal.

Summary:
Formation energy ... 16.8 kcal/mol of atoms
Energy above the most stable polymorph in this dataset ... 0 meV/atom
Space-group type ... No. 122
Crystal system ... tetragonal
Total energy ... -0.367 Ry/atom
N(E_F) ... 0.06 states/eV/cell

Cell: 5.039 5.039 5.039 Å, 122.29 122.29 86.08°
Sites, in units of the cell vectors:
1 Hg 0.000 0.000 0.000
2 Hg 0.750 0.250 0.500
3 B 0.257 0.625 0.132
4 B 0.375 0.507 0.632
5 B 0.493 0.125 0.868
6 B 0.875 0.743 0.368
7 C 0.250 0.750 0.500
8 C 0.500 0.500 0.000

DFT (GGA-PBE) results for a relaxed Hg3BC crystal.

Summary:
Formation energy ... 38.9 kcal/mol of atoms
Energy above the most stable polymorph in this dataset ... 0 meV/atom
Space-group type ... No. 221
Crystal system ... cubic
Total energy ... -0.123 Ry/atom
N(E_F) ... 3.05 states/eV/cell

Cell: 4.637 4.637 4.637 Å, 90.00 90.00 90.00°
Sites, in units of the cell vectors:
1 Hg 0.000 0.000 0.500
2 Hg 0.000 0.500 0.000
3 Hg 0.500 0.000 0.000
4 B 0.000 0.000 0.000
5 C 0.500 0.500 0.500

DFT (GGA-PBE) results for a relaxed HgBOs2C crystal.

Summary:
Formation energy ... 91.6 kcal/mol of atoms
Space-group type ... No. 123
Crystal system ... tetragonal
Total energy ... -0.276 Ry/atom
N(E_F) ... 6.79 states/eV/cell

Cell: 5.134 5.134 3.934 Å, 90.00 90.00 90.00°
Sites, in units of the cell vectors:
1 Hg 0.000 0.000 0.000
2 B 0.000 0.000 0.500
3 Os 0.000 0.500 0.000
4 Os 0.500 0.000 0.000
5 C 0.500 0.500 0.500

DFT (GGA-PBE) results for a relaxed Hg2BPdC crystal.

Summary:
Formation energy ... 36.5 kcal/mol of atoms
Space-group type ... No. 123
Crystal system ... tetragonal
Total energy ... -0.203 Ry/atom
N(E_F) ... 3.03 states/eV/cell

Cell: 4.533 4.533 4.205 Å, 90.00 90.00 90.00°
Sites, in units of the cell vectors:
1 Hg 0.000 0.500 0.000
2 Hg 0.500 0.000 0.000
3 B 0.000 0.000 0.000
4 Pd 0.000 0.000 0.500
5 C 0.500 0.500 0.500

DFT (GGA-PBE) results for a relaxed HgB2WC crystal.

Summary:
Formation energy ... 74.4 kcal/mol of atoms
Space-group type ... No. 123
Crystal system ... tetragonal
Total energy ... -0.290 Ry/atom
N(E_F) ... 5.77 states/eV/cell

Cell: 4.028 4.028 4.492 Å, 90.00 90.00 90.00°
Sites, in units of the cell vectors:
1 Hg 0.000 0.000 0.000
2 B 0.000 0.500 0.000
3 B 0.500 0.000 0.000
4 W 0.500 0.500 0.500
5 C 0.000 0.000 0.500